Entry 1:
Entry from the Alexandria database: a crystal of Ba3Cu relaxed with PBEsol (SCAN).

- DFT formation energy (eV/atom) = 0.358

Cell and atoms, written as CIF:
```
data_Ba3Cu
_space_group_name_H-M_alt 'P 1'
_space_group_IT_number 1
_cell_length_a 5.090
_cell_length_b 5.090
_cell_length_c 7.115
_cell_angle_alpha 110.96
_cell_angle_beta 110.96
_cell_angle_gamma 90.00
loop_
_space_group_symop_operation_xyz
'x,y,z'
loop_
_atom_site_label
_atom_site_fract_x
_atom_site_fract_y
_atom_site_fract_z
Ba1 0.250 0.750 0.500
Ba2 0.500 0.500 0.000
Ba3 0.750 0.250 0.500
Cu1 0.000 0.000 0.000
```

Entry 2:
Entry from the Alexandria database: a crystal of Mg3ScIn relaxed with PBEsol (SCAN).

- DFT formation energy (eV/atom) = 0.974

Cell and atoms, written as CIF:
```
data_Mg3ScIn
_space_group_name_H-M_alt 'P 1'
_space_group_IT_number 1
_cell_length_a 5.550
_cell_length_b 5.550
_cell_length_c 5.550
_cell_angle_alpha 90.00
_cell_angle_beta 90.00
_cell_angle_gamma 90.00
loop_
_space_group_symop_operation_xyz
'x,y,z'
loop_
_atom_site_label
_atom_site_fract_x
_atom_site_fract_y
_atom_site_fract_z
Mg1 0.000 0.500 0.000
Mg2 0.500 0.000 0.000
Mg3 0.000 0.000 0.500
Sc1 0.000 0.000 0.000
In1 0.500 0.500 0.500
```

Entry 3:
Entry from the Alexandria database: a crystal of LaReRu2 relaxed with PBEsol (SCAN).

- E above lowest polymorph (eV/atom) = 0.000
- DFT formation energy (eV/atom) = 0.385

Cell and atoms, written as CIF:
```
data_LaReRu2
_space_group_name_H-M_alt 'P 1'
_space_group_IT_number 1
_cell_length_a 2.919
_cell_length_b 4.968
_cell_length_c 5.015
_cell_angle_alpha 98.43
_cell_angle_beta 106.92
_cell_angle_gamma 90.00
loop_
_space_group_symop_operation_xyz
'x,y,z'
loop_
_atom_site_label
_atom_site_fract_x
_atom_site_fract_y
_atom_site_fract_z
La1 0.496 0.476 0.993
Ru1 0.002 0.972 0.003
Ru2 0.726 0.227 0.451
Re1 0.277 0.825 0.553
```

Entry 4:
Entry from the Alexandria database: a crystal of CsFeHPb2 relaxed with PBEsol (SCAN).

- uncorrected energy (Ha/atom) = -1.4710

Cell and atoms, written as CIF:
```
data_CsFeHPb2
_space_group_name_H-M_alt 'P 1'
_space_group_IT_number 1
_cell_length_a 4.939
_cell_length_b 6.292
_cell_length_c 6.292
_cell_angle_alpha 90.00
_cell_angle_beta 90.00
_cell_angle_gamma 90.00
loop_
_space_group_symop_operation_xyz
'x,y,z'
loop_
_atom_site_label
_atom_site_fract_x
_atom_site_fract_y
_atom_site_fract_z
Pb1 0.000 0.000 0.500
Pb2 0.000 0.500 0.000
H1 0.500 0.500 0.500
Cs1 0.000 0.000 0.000
Fe1 0.500 0.000 0.000
```

Entry 5:
Entry from the Alexandria database: a crystal of ZnMoSe3 relaxed with PBEsol (SCAN).

- uncorrected energy (Ha/atom) = -0.7700

Cell and atoms, written as CIF:
```
data_ZnMoSe3
_space_group_name_H-M_alt 'P 1'
_space_group_IT_number 1
_cell_length_a 4.759
_cell_length_b 4.759
_cell_length_c 4.759
_cell_angle_alpha 90.00
_cell_angle_beta 90.00
_cell_angle_gamma 90.00
loop_
_space_group_symop_operation_xyz
'x,y,z'
loop_
_atom_site_label
_atom_site_fract_x
_atom_site_fract_y
_atom_site_fract_z
Se1 0.000 0.500 0.000
Se2 0.500 0.000 0.000
Se3 0.000 0.000 0.500
Zn1 0.000 0.000 0.000
Mo1 0.500 0.500 0.500
```

Entry 6:
Entry from the Alexandria database: a crystal of PIr2Pb relaxed with PBEsol (SCAN).

- E above lowest polymorph (eV/atom) = 0.019
- DFT formation energy (eV/atom) = 0.248

Cell and atoms, written as CIF:
```
data_PIr2Pb
_space_group_name_H-M_alt 'P 1'
_space_group_IT_number 1
_cell_length_a 3.350
_cell_length_b 3.350
_cell_length_c 6.039
_cell_angle_alpha 90.00
_cell_angle_beta 90.00
_cell_angle_gamma 90.00
loop_
_space_group_symop_operation_xyz
'x,y,z'
loop_
_atom_site_label
_atom_site_fract_x
_atom_site_fract_y
_atom_site_fract_z
Ir1 0.000 0.000 0.019
Ir2 0.500 0.500 0.309
Pb1 0.500 0.500 0.775
P1 0.000 0.000 0.397
```

Number 1: magnetic moment 0.000 μB per formula unit, ρ 5.0 g/cm3. Number 2: magnetic moment 0.000 μB per formula unit, ρ 2.3 g/cm3. Number 3: magnetic moment 0.000 μB per formula unit, ρ 12.7 g/cm3. Number 4: magnetic moment 2.855 μB per formula unit, ρ 5.1 g/cm3. Number 5: magnetic moment 2.435 μB per formula unit, ρ 6.1 g/cm3. Number 6: magnetic moment 0.002 μB per formula unit, ρ 15.3 g/cm3.